Entry 1:
ReP2Ru after structural relaxation, computed with PBE-GGA.

Cell: 3.6908 2.9381 5.1071 Å, 90.02 90.00 90.00°
Last column: nearest neighbours and their distance in Å.
Atoms (fractional coordinates):
Re: 0.5000 0.2500 0.2500  8 P 2.61
Ru: 0.5000 0.7500 0.7500  4 P 2.34
P: 0.0000 0.7503 0.4689  1 P 2.24, 2 Ru 2.34
P: 0.0000 0.7497 0.0311  1 P 2.24, 2 Ru 2.34

energy above the lowest structure with this stoichiometry	399	meV per atom
mass density	10.5	g cm⁻³
total moment	0.0	Bohr magnetons per cell

---

Entry 2:
ReP2Ru after structural relaxation, computed with PBE-GGA.

Cell: 7.5876 7.5876 7.5876 Å, 22.51 22.51 22.51°
Last column: nearest neighbours and their distance in Å.
Atoms (fractional coordinates):
Re: 0.5097 0.5097 0.5097  3 P 2.37
Ru: 0.7389 0.7389 0.7389  3 P 2.33
P: 0.0008 0.0008 0.0008  3 Ru 2.33, 3 P 2.52
P: 0.2506 0.2506 0.2506  3 Re 2.37, 3 P 2.52

energy above the lowest structure with this stoichiometry	190	meV per atom
mass density	10.3	g cm⁻³
total moment	0.0	Bohr magnetons per cell

---

Entry 3:
RePRu2 after structural relaxation, computed with PBE-GGA.

Cell: 2.7744 2.7744 8.2948 Å, 90.00 90.00 117.70°
Last column: nearest neighbours and their distance in Å.
Atoms (fractional coordinates):
Re: 0.5000 0.5000 0.0000  4 Ru 2.71, 6 Re 2.77-2.87
Ru: 0.0000 0.0000 0.2765  2 P 2.34
Ru: 0.0000 0.0000 0.7235  2 P 2.34
P: 0.5000 0.5000 0.5000  4 Ru 2.34

mass density	12.3	g cm⁻³
total moment	0.0	Bohr magnetons per cell
E	-8.81	eV/atom

---

Entry 4:
RePRu2 after structural relaxation, computed with PBE-GGA.

Cell: 2.8170 2.8170 6.7658 Å, 90.00 90.00 90.00°
Last column: nearest neighbours and their distance in Å.
Atoms (fractional coordinates):
Re: 0.5000 0.5000 0.5000  8 Ru 2.78, 4 Re 2.82
Ru: 0.0000 0.0000 0.2134  4 P 2.46
Ru: 0.0000 0.0000 0.7866  4 P 2.46
P: 0.5000 0.5000 0.0000  8 Ru 2.46

mass density	13.0	g cm⁻³
total moment	0.0	Bohr magnetons per cell
E	-9.31	eV/atom

---

Entry 5:
ReP2Ru2 after structural relaxation, computed with PBE-GGA.

Cell: 6.8766 6.8766 2.7961 Å, 90.00 90.00 90.00°
Last column: nearest neighbours and their distance in Å.
Atoms (fractional coordinates):
Re: 0.5000 0.5000 0.0000  4 P 2.59, 2 Re 2.80
Re: 0.0000 0.0000 0.0000  4 P 2.59, 2 Re 2.80
P: 0.3422 0.8422 0.0000  6 Ru 2.35-2.53, 2 Re 2.59
P: 0.8422 0.6578 0.0000  6 Ru 2.35-2.53, 2 Re 2.59
P: 0.1578 0.3422 0.0000  6 Ru 2.35-2.53, 2 Re 2.59
P: 0.6578 0.1578 0.0000  6 Ru 2.35-2.53, 2 Re 2.59
Ru: 0.3522 0.1478 0.5000  6 P 2.35-2.53
Ru: 0.6478 0.8522 0.5000  6 P 2.35-2.53
Ru: 0.8522 0.3522 0.5000  6 P 2.35-2.53
Ru: 0.1478 0.6478 0.5000  6 P 2.35-2.53

mass density	11.3	g cm⁻³
total moment	0.0	Bohr magnetons per cell
E	-8.46	eV/atom

---

Entry 6:
ReP2Ru after structural relaxation, computed with PBE-GGA.

Cell: 5.3445 5.3445 6.3432 Å, 65.08 65.08 90.00°
Last column: nearest neighbours and their distance in Å.
Atoms (fractional coordinates):
P: 0.3750 0.3782 0.7500  2 Ru 2.27, 2 Re 2.29
P: 0.1282 0.6250 0.2500  2 Ru 2.27, 2 Re 2.29
P: 0.6218 0.1250 0.2500  2 Ru 2.27, 2 Re 2.29
P: 0.8750 0.8718 0.7500  2 Ru 2.27, 2 Re 2.29
Re: 0.0000 0.0000 0.0000  4 P 2.29
Re: 0.7500 0.2500 0.5000  4 P 2.29
Ru: 0.2500 0.7500 0.5000  4 P 2.27
Ru: 0.5000 0.5000 0.0000  4 P 2.27

energy above the lowest structure with this stoichiometry	263	meV per atom
mass density	8.0	g cm⁻³
total moment	0.0	Bohr magnetons per cell

---

Entry 7:
RePRu2 after structural relaxation, computed with PBE-GGA.

Cell: 2.8665 4.3987 4.3800 Å, 90.00 90.00 90.00°
Last column: nearest neighbours and their distance in Å.
Atoms (fractional coordinates):
Re: 0.0000 0.5000 0.5000  4 Ru 2.62, 4 P 2.63, 2 Re 2.87
Ru: 0.0000 0.0000 0.0000  4 P 2.62, 6 Ru 2.63-2.87
Ru: 0.5000 0.5000 0.0000  4 Re 2.62, 6 Ru 2.63-2.87
P: 0.5000 0.0000 0.5000  4 Ru 2.62, 4 Re 2.63, 2 P 2.87

mass density	12.6	g cm⁻³
total moment	0.0	Bohr magnetons per cell
E	-8.91	eV/atom

---

Entry 8:
RePRu after structural relaxation, computed with PBE-GGA.

Cell: 5.1977 5.1977 5.1977 Å, 147.67 147.67 46.37°
Last column: nearest neighbours and their distance in Å.
Atoms (fractional coordinates):
Ru: 0.6516 0.6516 0.0000  4 P 2.52, 4 Re 2.80
P: 0.9972 0.9972 0.0000  4 Re 2.48, 4 Ru 2.52
Re: 0.3512 0.3512 0.0000  4 P 2.48

energy above the lowest structure with this stoichiometry	0	meV per atom
mass density	13.2	g cm⁻³
total moment	0.0	Bohr magnetons per cell

---

Entry 9:
RePRu after structural relaxation, computed with PBE-GGA.

Cell: 6.5184 6.2151 2.8338 Å, 83.21 71.22 25.57°
Last column: nearest neighbours and their distance in Å.
Atoms (fractional coordinates):
Re: 0.3472 0.3472 0.6528  2 P 2.36
Ru: 0.6506 0.6506 0.3494  2 P 2.30
P: 0.0022 0.0022 0.9978  2 Ru 2.30, 2 Re 2.36

energy above the lowest structure with this stoichiometry	487	meV per atom
mass density	12.4	g cm⁻³
total moment	0.0	Bohr magnetons per cell

---

Entry 10:
RePRu after structural relaxation, computed with PBE-GGA.

Cell: 3.9614 3.9614 3.9614 Å, 60.00 60.00 60.00°
Last column: nearest neighbours and their distance in Å.
Atoms (fractional coordinates):
Re: 0.0000 0.0000 0.0000  4 P 2.43
Ru: 0.5000 0.5000 0.5000  4 P 2.43
P: 0.2500 0.2500 0.2500  4 Re 2.43, 4 Ru 2.43

energy above the lowest structure with this stoichiometry	170	meV per atom
mass density	12.0	g cm⁻³
total moment	0.0	Bohr magnetons per cell

---

Entry 11:
RePRu2 after structural relaxation, computed with PBE-GGA.

Cell: 4.6647 4.6647 4.6647 Å, 132.17 132.17 69.96°
Last column: nearest neighbours and their distance in Å.
Atoms (fractional coordinates):
Ru: 0.2500 0.7500 0.5000  4 Re 2.67, 4 Ru 2.69, 4 P 2.69
Ru: 0.0000 0.0000 0.0000  4 P 2.67, 4 Re 2.69, 4 Ru 2.69
P: 0.5000 0.5000 0.0000  8 Ru 2.67-2.69, 4 Re 2.69
Re: 0.7500 0.2500 0.5000  8 Ru 2.67-2.69, 4 P 2.69

mass density	12.7	g cm⁻³
total moment	0.0	Bohr magnetons per cell
E	-8.90	eV/atom

---

Entry 12:
RePRu2 after structural relaxation, computed with PBE-GGA.

Cell: 2.8133 3.7631 5.2251 Å, 90.00 90.00 90.00°
Last column: nearest neighbours and their distance in Å.
Atoms (fractional coordinates):
Re: 0.5000 0.5000 0.5000  2 P 2.61, 8 Ru 2.69, 2 Re 2.81
P: 0.5000 0.5000 0.0000  2 Re 2.61, 8 Ru 2.68, 2 P 2.81
Ru: 0.0000 0.0000 0.7523  4 Ru 2.59-2.81, 4 P 2.68, 4 Re 2.69
Ru: 0.0000 0.0000 0.2477  4 Ru 2.59-2.81, 4 P 2.68, 4 Re 2.69

mass density	12.6	g cm⁻³
total moment	0.0	Bohr magnetons per cell
E	-9.00	eV/atom